[1]
DFT (GGA-PBE) results for an optimized crystal structure of Sc2TiAu.

Output
Magnetization in μB per formula unit: 0.00
ρ in Mg/m³: 6.93
Final energy in eV per cell: -25.125
ΔH_f (0 K) in meV/atom: -322

abc: 3.314 3.314 7.302
angles: 90.00 90.00 90.00
Atoms (fractional coordinates):
Sc  0.000  0.000  0.240
Sc  0.000  0.000  0.760
Au  0.500  0.500  0.000
Ti  0.500  0.500  0.500

[2]
DFT (GGA-PBE) results for an optimized crystal structure of ScTiAu.

Output
Magnetization in μB per formula unit: 1.50
ρ in Mg/m³: 8.35
Final energy in eV per cell: -37.405
ΔH_f (0 K) in meV/atom: -399

abc: 4.704 6.019 4.704
angles: 90.00 120.00 90.00
Each line ends with the local moment (μB).
Atoms (fractional coordinates):
Ti  0.120  0.759  0.308  1.36
Ti  0.786  0.934  0.641  0.59
Sc  0.453  0.541  0.974  0.17
Au  0.453  0.003  0.974  0.05
Au  0.786  0.467  0.641  0.04
Sc  0.119  0.237  0.308  0.12

[3]
DFT (GGA-PBE) results for an optimized crystal structure of ScTiAu.

Output
Magnetization in μB per formula unit: 0.00
ρ in Mg/m³: 8.40
Final energy in eV per cell: -18.575
ΔH_f (0 K) in meV/atom: -357

abc: 3.230 3.230 5.945
angles: 105.76 105.76 90.00
Atoms (fractional coordinates):
Au  0.942  0.942  0.884
Sc  0.616  0.616  0.233
Ti  0.292  0.292  0.584

[4]
DFT (GGA-PBE) results for an optimized crystal structure of Sc2TiAu.

Output
Magnetization in μB per formula unit: 1.61
ρ in Mg/m³: 6.47
Final energy in eV per cell: -23.439
ΔH_f (0 K) in meV/atom: 99

abc: 10.091 10.091 10.091
angles: 18.03 18.03 18.03
Each line ends with the local moment (μB).
Atoms (fractional coordinates):
Ti  0.000  0.000  0.000  1.09
Au  0.500  0.500  0.500  0.01
Sc  0.091  0.091  0.091  0.11
Sc  0.909  0.909  0.909  0.11